Entry 1:
Crystalline Hg2Bi2Pb at its relaxed geometry, computed with PBE.

a = 8.996 Å, b = 8.996 Å, c = 3.643 Å
α = 90.00°, β = 90.00°, γ = 90.00°
Positions (direct):
Hg: 0.118 0.382 0.000
Hg: 0.382 0.882 0.000
Hg: 0.618 0.118 0.000
Hg: 0.882 0.618 0.000
Bi: 0.185 0.685 0.500
Bi: 0.315 0.185 0.500
Bi: 0.685 0.815 0.500
Bi: 0.815 0.315 0.500
Pb: 0.000 0.000 0.000
Pb: 0.500 0.500 0.000

Properties
Total moment, μB per atom: 0.00
Excess energy over the best structure of this formula in the dataset, eV/atom: 0.058
ΔE_f, eV/f.u.: 0.57

=====

Entry 2:
Crystalline TbEr4Cu5 at its relaxed geometry, computed with PBE.

a = 3.424 Å, b = 3.424 Å, c = 17.398 Å
α = 90.00°, β = 90.00°, γ = 90.00°
Positions (direct):
Tb: 0.000 0.000 0.000
Er: 0.000 0.000 0.202
Er: 0.000 0.000 0.400
Er: 0.000 0.000 0.600
Er: 0.000 0.000 0.798
Cu: 0.500 0.500 0.104
Cu: 0.500 0.500 0.301
Cu: 0.500 0.500 0.500
Cu: 0.500 0.500 0.699
Cu: 0.500 0.500 0.896

Properties
Total moment, μB per atom: 0.00
ΔE_f, eV/f.u.: -2.74

=====

Entry 3:
Crystalline LaNdY2Ho2 at its relaxed geometry, computed with PBE.

a = 6.674 Å, b = 17.926 Å, c = 3.403 Å
α = 90.00°, β = 90.00°, γ = 90.00°
Positions (direct):
La: 0.000 0.000 0.000
La: 0.500 0.500 0.500
Nd: 0.000 0.500 0.000
Nd: 0.500 0.000 0.500
Y: 0.223 0.348 0.500
Y: 0.277 0.848 0.000
Y: 0.723 0.152 0.000
Y: 0.777 0.652 0.500
Ho: 0.225 0.182 0.000
Ho: 0.275 0.682 0.500
Ho: 0.725 0.318 0.500
Ho: 0.775 0.818 0.000

Properties
Total moment, μB per atom: 0.00
ΔE_f, eV/f.u.: 1.72

=====

DFT total energy across the listed records, respectively: -11.51; -46.11; -30.06 eV per formula unit.